Mn2CoIr PBE relaxed; volume = 47.5 Å³/cell; DOS at the Fermi energy = 5.240 states/eV per cell; E = -0.6343 Ry per atom; DFT formation energy = -0.054 eV per atom
1.0
3.613 0.000 0.000
0.000 3.613 0.000
0.000 0.000 3.641
Mn Co Ir
2 1 1
Direct
0.000 0.500 0.000
0.500 0.000 0.000
0.000 0.000 0.500
0.500 0.500 0.500